(1)
{
  "formula": "La5Sm2YHo",
  "functional": "GGA-PBE",
  "state": "relaxed",
  "lattice_angstrom": [[-4.349, 4.349, 8.529], [4.349, -4.349, 8.529], [4.349, 4.349, -8.529]],
  "species": ["La", "La", "La", "La", "La", "La", "La", "La", "La", "La", "Sm", "Sm", "Sm", "Sm", "Y", "Y", "Ho", "Ho"],
  "frac_coords": [[0.000, 0.000, 0.000], [0.074, 0.574, 0.935], [0.140, 0.074, 0.500], [0.360, 0.860, 0.935], [0.426, 0.360, 0.500], [0.500, 0.500, 0.000], [0.574, 0.640, 0.500], [0.640, 0.140, 0.065], [0.860, 0.926, 0.500], [0.926, 0.426, 0.065], [0.122, 0.378, 0.500], [0.378, 0.878, 0.256], [0.622, 0.122, 0.744], [0.878, 0.622, 0.500], [0.250, 0.750, 0.500], [0.750, 0.250, 0.500], [0.250, 0.250, 0.000], [0.750, 0.750, 0.000]],
  "dos_at_fermi_per_ev_fu": 17.01,
  "m_tot_mub_per_cell": 0.00,
  "final_energy_ev_per_atom": -4.7341,
  "sg": "I4/mcm, No. 140"
}



(2)
{
  "formula": "La2SmY4Ho2",
  "functional": "GGA-PBE",
  "state": "relaxed",
  "lattice_angstrom": [[6.233, 0.000, 0.000], [1.058, 6.169, 0.000], [2.047, 0.705, 7.771]],
  "species": ["La", "La", "Sm", "Y", "Y", "Y", "Y", "Ho", "Ho"],
  "frac_coords": [[0.171, 0.331, 0.334], [0.829, 0.669, 0.666], [0.500, 0.000, 0.000], [0.058, 0.110, 0.779], [0.276, 0.554, 0.888], [0.724, 0.446, 0.112], [0.942, 0.890, 0.221], [0.391, 0.777, 0.445], [0.609, 0.223, 0.555]],
  "dos_at_fermi_per_ev_fu": 12.65,
  "m_tot_mub_per_cell": 0.00,
  "final_energy_ev_per_atom": -5.4846,
  "sg": "P-1, No. 2"
}



(3)
{
  "formula": "LaSmY2Ho5",
  "functional": "GGA-PBE",
  "state": "relaxed",
  "lattice_angstrom": [[-4.422, 4.422, 7.554], [4.422, -4.422, 7.554], [4.422, 4.422, -7.554]],
  "species": ["La", "La", "Sm", "Sm", "Y", "Y", "Y", "Y", "Ho", "Ho", "Ho", "Ho", "Ho", "Ho", "Ho", "Ho", "Ho", "Ho"],
  "frac_coords": [[0.250, 0.250, 0.000], [0.750, 0.750, 0.000], [0.250, 0.750, 0.500], [0.750, 0.250, 0.500], [0.116, 0.616, 0.731], [0.384, 0.116, 0.500], [0.616, 0.884, 0.500], [0.884, 0.384, 0.269], [0.000, 0.000, 0.000], [0.071, 0.161, 0.500], [0.161, 0.661, 0.090], [0.339, 0.429, 0.500], [0.429, 0.929, 0.090], [0.500, 0.500, 0.000], [0.571, 0.071, 0.910], [0.661, 0.571, 0.500], [0.839, 0.339, 0.910], [0.929, 0.839, 0.500]],
  "dos_at_fermi_per_ev_fu": 11.46,
  "m_tot_mub_per_cell": 0.01,
  "final_energy_ev_per_atom": -4.7640,
  "sg": "I4/mcm, No. 140"
}



(4)
{
  "formula": "La3Sm2Y6Ho",
  "functional": "GGA-PBE",
  "state": "relaxed",
  "lattice_angstrom": [[3.141, -5.441, 0.000], [3.141, 5.441, 0.000], [-2.091, 0.000, 11.730]],
  "species": ["La", "La", "La", "Sm", "Sm", "Y", "Y", "Y", "Y", "Y", "Y", "Ho"],
  "frac_coords": [[0.000, 0.000, 0.000], [0.333, 0.667, 0.000], [0.667, 0.333, 0.000], [0.166, 0.834, 0.500], [0.834, 0.166, 0.500], [0.085, 0.418, 0.254], [0.249, 0.249, 0.746], [0.418, 0.085, 0.254], [0.582, 0.915, 0.746], [0.751, 0.751, 0.254], [0.915, 0.582, 0.746], [0.500, 0.500, 0.500]],
  "dos_at_fermi_per_ev_fu": 15.99,
  "m_tot_mub_per_cell": 0.00,
  "final_energy_ev_per_atom": -5.6165,
  "sg": "C2/m, No. 12"
}